First-principles (PBE-GGA) data for KTl8Pt2 after structural relaxation, as listed in Alexandria via LeMat-Bulk.

Computed properties:
Energy relative to the elements, meV/atom: -41

a b c (Å): 5.4366 7.9559 7.9559
angles (deg): 108.61 97.11 97.11
Element x y z (fractional)
Tl (0.9038, 0.6625, 0.9229)
Tl (0.9038, 0.9229, 0.6625)
Tl (0.0962, 0.0771, 0.3375)
Tl (0.5000, 0.2645, 0.7355)
Pt (0.0000, 0.3124, 0.6876)
Tl (0.7002, 0.3926, 0.3926)
Pt (0.0000, 0.6876, 0.3124)
Tl (0.5000, 0.7355, 0.2645)
K (0.5000, 0.0000, 0.0000)
Tl (0.2998, 0.6074, 0.6074)
Tl (0.0962, 0.3375, 0.0771)

***

First-principles (PBE-GGA) data for KTlPt2 after structural relaxation, as listed in Alexandria via LeMat-Bulk.

Computed properties:
Energy relative to the elements, meV/atom: 245

a b c (Å): 5.2733 5.2733 5.2733
angles (deg): 130.54 130.17 72.84
Element x y z (fractional)
Pt (0.9993, 0.9993, 0.0000)
K (0.2500, 0.7500, 0.5000)
Tl (0.7500, 0.2500, 0.5000)
Pt (0.5007, 0.5007, 0.0000)

***

First-principles (PBE-GGA) data for KTlPt2 after structural relaxation, as listed in Alexandria via LeMat-Bulk.

Computed properties:
Energy relative to the elements, meV/atom: 235

a b c (Å): 4.2896 4.4045 4.4045
angles (deg): 90.00 90.00 90.00
Element x y z (fractional)
Tl (0.5000, 0.5000, 0.0000)
K (0.5000, 0.0000, 0.5000)
Pt (0.0000, 0.0000, 0.0000)
Pt (0.0000, 0.5000, 0.5000)

***

First-principles (PBE-GGA) data for K5Tl2Pt after structural relaxation, as listed in Alexandria via LeMat-Bulk.

Computed properties:
Energy relative to the elements, meV/atom: -91

a b c (Å): 4.4673 9.2693 18.5766
angles (deg): 90.00 90.00 103.94
Element x y z (fractional)
Pt (0.2059, 0.4118, 0.2500)
Tl (0.7236, 0.4472, 0.1586)
Tl (0.2764, 0.5528, 0.8414)
K (0.3364, 0.6727, 0.4568)
K (0.3364, 0.6727, 0.0432)
K (0.9360, 0.8719, 0.8640)
K (0.6636, 0.3273, 0.9568)
K (0.0640, 0.1281, 0.1360)
Tl (0.7236, 0.4472, 0.3414)
K (0.6636, 0.3273, 0.5432)
K (0.0640, 0.1281, 0.3640)
Pt (0.7941, 0.5882, 0.7500)
Tl (0.2764, 0.5528, 0.6586)
K (0.9360, 0.8719, 0.6360)
K (0.3787, 0.7574, 0.2500)
K (0.6213, 0.2426, 0.7500)

***

Question: Which value of energy relative to the elements does entry 3 give?
Answer: 235 meV/atom

***

Question: Which of these has the highest energy relative to the elements?
Answer: number 2

***

Question: Look up the energy relative to the elements of the second one.
Answer: 245 meV/atom

***

Question: Look up the energy relative to the elements of the fourth one.
Answer: -91 meV/atom